# LiNiBRh2

A geometry-optimized LiNiBRh2 structure (PBE, Alexandria via LeMat-Bulk).

Calculated values
Total magnetization (μB/f.u.): 0.790
Total energy (eV/atom): -5.9483
DFT formation energy (eV per atom): -0.133

Cell lengths 4.079, 4.079, 3.843 Å; angles 90.00, 90.00, 90.00 degrees
Element x y z (fractional)
Rh 0.000 0.500 0.000
Rh 0.500 0.000 0.000
Ni 0.000 0.000 0.500
Li 0.500 0.500 0.500
B 0.000 0.000 0.000

***

# LiNiB2Sb

A geometry-optimized LiNiB2Sb structure (PBE, Alexandria via LeMat-Bulk).

Calculated values
Total magnetization (μB/f.u.): 0.000
Total energy (eV/atom): -3.5024
Raw formation energy (eV per atom): 1.532

Cell lengths 4.546, 4.722, 4.546 Å; angles 90.00, 90.00, 90.00 degrees
Element x y z (fractional)
Li 0.500 0.500 0.500
B 0.000 0.000 0.500
B 0.500 0.000 0.000
Ni 0.000 0.500 0.000
Sb 0.000 0.000 0.000

***

# Li2SiNi5B2

A geometry-optimized Li2SiNi5B2 structure (PBE, Alexandria via LeMat-Bulk).

Calculated values
Total magnetization (μB/f.u.): 0.000
Total energy (eV/atom): -5.5257
Raw formation energy (eV per atom): -0.375

Cell lengths 2.769, 8.594, 8.594 Å; angles 90.00, 90.00, 90.00 degrees
Element x y z (fractional)
Ni 0.500 0.070 0.785
Ni 0.500 0.930 0.215
Ni 0.500 0.000 0.500
Ni 0.500 0.500 0.000
Ni 0.500 0.215 0.070
Ni 0.500 0.285 0.570
Ni 0.500 0.785 0.930
Ni 0.500 0.430 0.285
Ni 0.500 0.570 0.715
Ni 0.500 0.715 0.430
Li 0.000 0.325 0.825
Li 0.000 0.825 0.675
Li 0.000 0.175 0.325
Li 0.000 0.675 0.175
B 0.000 0.623 0.877
B 0.000 0.377 0.123
B 0.000 0.123 0.623
B 0.000 0.877 0.377
Si 0.000 0.500 0.500
Si 0.000 0.000 0.000

***

# LiSm2Ni12B3

A geometry-optimized LiSm2Ni12B3 structure (PBE, Alexandria via LeMat-Bulk).

Calculated values
Total magnetization (μB/f.u.): 0.000
Total energy (eV/atom): -5.6283
DFT formation energy (eV per atom): -0.031

Cell lengths 6.599, 6.599, 6.599 Å; angles 67.83, 67.83, 67.83 degrees
Element x y z (fractional)
Ni 0.126 0.126 0.622
Ni 0.874 0.874 0.378
Ni 0.283 0.884 0.283
Ni 0.717 0.717 0.116
Ni 0.874 0.378 0.874
Ni 0.126 0.622 0.126
Ni 0.622 0.126 0.126
Ni 0.116 0.717 0.717
Ni 0.283 0.283 0.884
Ni 0.717 0.116 0.717
Ni 0.378 0.874 0.874
Ni 0.884 0.283 0.283
B 0.500 0.000 0.000
B 0.000 0.000 0.500
B 0.000 0.500 0.000
Sm 0.606 0.606 0.606
Sm 0.394 0.394 0.394
Li 0.000 0.000 0.000

***

# LiTh2Ni12B3

A geometry-optimized LiTh2Ni12B3 structure (PBE, Alexandria via LeMat-Bulk).

Calculated values
Total magnetization (μB/f.u.): 0.000
Total energy (eV/atom): -6.0118
DFT formation energy (eV per atom): -0.114

Cell lengths 6.584, 6.584, 6.584 Å; angles 68.50, 68.50, 68.50 degrees
Element x y z (fractional)
Ni 0.126 0.126 0.625
Ni 0.713 0.116 0.713
Ni 0.116 0.713 0.713
Ni 0.874 0.375 0.874
Ni 0.375 0.874 0.874
Ni 0.713 0.713 0.116
Ni 0.874 0.874 0.375
Ni 0.126 0.625 0.126
Ni 0.884 0.287 0.287
Ni 0.287 0.884 0.287
Ni 0.625 0.126 0.126
Ni 0.287 0.287 0.884
Li 0.000 0.000 0.000
B 0.000 0.000 0.500
B 0.500 0.000 0.000
B 0.000 0.500 0.000
Th 0.386 0.386 0.386
Th 0.614 0.614 0.614

***

# LiTm2Ni12B3

A geometry-optimized LiTm2Ni12B3 structure (PBE, Alexandria via LeMat-Bulk).

Calculated values
Total magnetization (μB/f.u.): 0.000
Total energy (eV/atom): -5.6258
DFT formation energy (eV per atom): -0.055

Cell lengths 6.613, 6.613, 6.613 Å; angles 65.44, 65.44, 65.44 degrees
Element x y z (fractional)
B 0.000 0.000 0.500
B 0.500 0.000 0.000
B 0.000 0.500 0.000
Ni 0.126 0.723 0.723
Ni 0.137 0.137 0.598
Ni 0.277 0.277 0.874
Ni 0.277 0.874 0.277
Ni 0.723 0.723 0.126
Ni 0.402 0.863 0.863
Ni 0.723 0.126 0.723
Ni 0.137 0.598 0.137
Ni 0.598 0.137 0.137
Ni 0.874 0.277 0.277
Ni 0.863 0.402 0.863
Ni 0.863 0.863 0.402
Li 0.000 0.000 0.000
Tm 0.598 0.598 0.598
Tm 0.402 0.402 0.402

***

# LiY2Ni12B3

A geometry-optimized LiY2Ni12B3 structure (PBE, Alexandria via LeMat-Bulk).

Calculated values
Total magnetization (μB/f.u.): 0.000
Total energy (eV/atom): -5.8274
DFT formation energy (eV per atom): -0.036

Cell lengths 6.592, 6.592, 6.592 Å; angles 67.27, 67.27, 67.27 degrees
Element x y z (fractional)
Ni 0.383 0.871 0.871
Ni 0.119 0.718 0.718
Ni 0.129 0.129 0.617
Ni 0.718 0.119 0.718
Ni 0.282 0.282 0.881
Ni 0.718 0.718 0.119
Ni 0.129 0.617 0.129
Ni 0.871 0.383 0.871
Ni 0.282 0.881 0.282
Ni 0.881 0.282 0.282
Ni 0.617 0.129 0.129
Ni 0.871 0.871 0.383
B 0.500 0.000 0.000
B 0.000 0.500 0.000
B 0.000 0.000 0.500
Y 0.397 0.397 0.397
Y 0.603 0.603 0.603
Li 0.000 0.000 0.000

***

# LiY2NiB

A geometry-optimized LiY2NiB structure (PBE, Alexandria via LeMat-Bulk).

Calculated values
Total magnetization (μB/f.u.): 0.000
Total energy (eV/atom): -5.6169
DFT formation energy (eV per atom): -0.157

Cell lengths 5.118, 5.118, 3.811 Å; angles 90.00, 90.00, 90.00 degrees
Element x y z (fractional)
Y 0.500 0.000 0.000
Y 0.000 0.500 0.000
Li 0.500 0.500 0.500
Ni 0.000 0.000 0.500
B 0.000 0.000 0.000

***

# LiZn2Ni5B2

A geometry-optimized LiZn2Ni5B2 structure (PBE, Alexandria via LeMat-Bulk).

Calculated values
Total magnetization (μB/f.u.): 0.000
Total energy (eV/atom): -4.8577
DFT formation energy (eV per atom): -0.185

Cell lengths 2.889, 8.491, 8.491 Å; angles 90.00, 90.00, 90.00 degrees
Element x y z (fractional)
Ni 0.500 0.718 0.431
Ni 0.500 0.000 0.500
Ni 0.500 0.569 0.718
Ni 0.500 0.069 0.782
Ni 0.500 0.931 0.218
Ni 0.500 0.282 0.569
Ni 0.500 0.218 0.069
Ni 0.500 0.782 0.931
Ni 0.500 0.500 0.000
Ni 0.500 0.431 0.282
B 0.000 0.375 0.125
B 0.000 0.875 0.375
B 0.000 0.625 0.875
B 0.000 0.125 0.625
Zn 0.000 0.677 0.177
Zn 0.000 0.323 0.823
Zn 0.000 0.177 0.323
Zn 0.000 0.823 0.677
Li 0.000 0.000 0.000
Li 0.000 0.500 0.500

***

# Li3Zn2Ni3B

A geometry-optimized Li3Zn2Ni3B structure (PBE, Alexandria via LeMat-Bulk).

Calculated values
Total magnetization (μB/f.u.): 0.000
Total energy (eV/atom): -3.7896
DFT formation energy (eV per atom): -0.199

Cell lengths 2.748, 6.570, 6.570 Å; angles 120.00, 90.00, 90.00 degrees
Element x y z (fractional)
Li 0.000 0.374 0.000
Li 0.000 0.000 0.374
Li 0.000 0.626 0.626
Zn 0.500 0.333 0.667
Zn 0.500 0.667 0.333
Ni 0.500 0.000 0.769
Ni 0.500 0.769 0.000
Ni 0.500 0.231 0.231
B 0.000 0.000 0.000

***

# Li2NpBO6

A geometry-optimized Li2NpBO6 structure (PBE, Alexandria via LeMat-Bulk).

Calculated values
Total magnetization (μB/f.u.): 0.104
Total energy (eV/atom): -7.3701
Raw formation energy (eV per atom): -2.051

Cell lengths 4.766, 5.123, 5.932 Å; angles 115.59, 120.87, 90.00 degrees
Element x y z (fractional)
O 0.214 0.713 0.855
O 0.786 0.287 0.145
O 0.379 0.698 0.396
O 0.214 0.142 0.855
O 0.621 0.302 0.604
O 0.786 0.858 0.145
Li 0.844 0.744 0.488
Li 0.156 0.256 0.512
B 0.500 0.000 0.000
Np 0.000 0.500 0.000